(1)
# HfSbAs2 PBE relaxed
# Space-group type: I-42d
# Mass density (g/cm3): 6.12
# Density of states at the Fermi level (states/eV per cell): 9.45
# Total magnetic moment (μB/f.u.): 0.00
# Formation energy from raw total energies (eV/atom): 0.0382
data_HfSbAs2
_chemical_formula_sum 'Hf2 Sb2 As4'
_cell_length_a 6.354
_cell_length_b 6.354
_cell_length_c 7.536
_cell_angle_alpha 65.07
_cell_angle_beta 65.07
_cell_angle_gamma 90.00
_symmetry_space_group_name_H-M 'P 1'
_symmetry_Int_Tables_number 1
loop_
_symmetry_equiv_pos_as_xyz
'x,y,z'
loop_
_atom_site_label
_atom_site_fract_x
_atom_site_fract_y
_atom_site_fract_z
_atom_site_occupancy
Sb1 0.500 0.500 0.000 1
Sb2 0.250 0.750 0.500 1
As1 0.654 0.125 0.250 1
As2 0.096 0.625 0.250 1
As3 0.375 0.346 0.750 1
As4 0.875 0.904 0.750 1
Hf1 0.000 0.000 0.000 1
Hf2 0.750 0.250 0.500 1

---

(2)
# Nd5ErBi6 PBE relaxed
# Calculated formation energy (eV/atom): -0.923
# Space-group type: C2/m
# Mass density (g/cm3): 8.71
# Density of states at the Fermi level (states/eV per cell): 2.03
# Total magnetic moment (μB/f.u.): 0.00
data_Nd5ErBi6
_chemical_formula_sum 'Nd5 Er1 Bi6'
_cell_length_a 7.941
_cell_length_b 7.939
_cell_length_c 7.941
_cell_angle_alpha 60.01
_cell_angle_beta 80.39
_cell_angle_gamma 70.48
_symmetry_space_group_name_H-M 'P 1'
_symmetry_Int_Tables_number 1
loop_
_symmetry_equiv_pos_as_xyz
'x,y,z'
loop_
_atom_site_label
_atom_site_fract_x
_atom_site_fract_y
_atom_site_fract_z
_atom_site_occupancy
Nd1 0.500 0.169 0.662 1
Nd2 0.000 0.334 0.332 1
Nd3 0.500 0.500 0.000 1
Nd4 0.000 0.666 0.668 1
Nd5 0.500 0.831 0.338 1
Er1 0.000 0.000 0.000 1
Bi1 0.754 0.082 0.328 1
Bi2 0.246 0.591 0.328 1
Bi3 0.248 0.244 0.000 1
Bi4 0.752 0.756 0.000 1
Bi5 0.754 0.409 0.672 1
Bi6 0.246 0.918 0.672 1

---

(3)
# LaReBr2 PBE relaxed
# Space-group type: Pmm2
# Mass density (g/cm3): 6.72
# ΔE to the lowest computed polymorph (kJ/mol of atoms): 35.4
# Density of states at the Fermi level (states/eV per cell): 2.96
# Total magnetic moment (μB/f.u.): 1.98
# Formation energy from raw total energies (eV/atom): 0.0939
data_LaReBr2
_chemical_formula_sum 'La1 Re1 Br2'
_cell_length_a 3.917
_cell_length_b 4.212
_cell_length_c 7.258
_cell_angle_alpha 90.00
_cell_angle_beta 90.00
_cell_angle_gamma 90.00
_symmetry_space_group_name_H-M 'P 1'
_symmetry_Int_Tables_number 1
loop_
_symmetry_equiv_pos_as_xyz
'x,y,z'
loop_
_atom_site_label
_atom_site_fract_x
_atom_site_fract_y
_atom_site_fract_z
_atom_site_occupancy
Re1 0.500 0.500 0.672 1
Br1 0.000 0.000 0.952 1
Br2 0.500 0.500 0.325 1
La1 0.000 0.000 0.550 1

---

(4)
# LuAlFeRu PBE relaxed
# Calculated formation energy (eV/atom): -0.274
# Space-group type: F-43m
# Mass density (g/cm3): 9.58
# Density of states at the Fermi level (states/eV per cell): 6.32
# Total magnetic moment (μB/f.u.): 1.70
data_LuAlFeRu
_chemical_formula_sum 'Lu1 Al1 Fe1 Ru1'
_cell_length_a 4.448
_cell_length_b 4.448
_cell_length_c 4.448
_cell_angle_alpha 60.00
_cell_angle_beta 60.00
_cell_angle_gamma 60.00
_symmetry_space_group_name_H-M 'P 1'
_symmetry_Int_Tables_number 1
loop_
_symmetry_equiv_pos_as_xyz
'x,y,z'
loop_
_atom_site_label
_atom_site_fract_x
_atom_site_fract_y
_atom_site_fract_z
_atom_site_occupancy
Ru1 0.250 0.250 0.250 1
Lu1 0.500 0.500 0.500 1
Fe1 0.750 0.750 0.750 1
Al1 0.000 0.000 0.000 1

---

(5)
# NaScCdCl6 PBE relaxed
# Space-group type: P-31c
# Mass density (g/cm3): 2.72
# Density of states at the Fermi level (states/eV per cell): 0.00
# Total magnetic moment (μB/f.u.): 0.00
# Formation energy from raw total energies (eV/atom): -1.7029
data_NaScCdCl6
_chemical_formula_sum 'Na2 Sc2 Cd2 Cl12'
_cell_length_a 6.655
_cell_length_b 6.655
_cell_length_c 12.494
_cell_angle_alpha 90.00
_cell_angle_beta 90.00
_cell_angle_gamma 120.00
_symmetry_space_group_name_H-M 'P 1'
_symmetry_Int_Tables_number 1
loop_
_symmetry_equiv_pos_as_xyz
'x,y,z'
loop_
_atom_site_label
_atom_site_fract_x
_atom_site_fract_y
_atom_site_fract_z
_atom_site_occupancy
Na1 0.000 0.000 0.000 1
Na2 0.000 0.000 0.500 1
Sc1 0.667 0.333 0.250 1
Sc2 0.333 0.667 0.750 1
Cd1 0.333 0.667 0.250 1
Cd2 0.667 0.333 0.750 1
Cl1 0.651 0.633 0.134 1
Cl2 0.982 0.349 0.134 1
Cl3 0.349 0.982 0.634 1
Cl4 0.018 0.651 0.866 1
Cl5 0.367 0.349 0.366 1
Cl6 0.982 0.633 0.366 1
Cl7 0.633 0.982 0.866 1
Cl8 0.651 0.018 0.366 1
Cl9 0.018 0.367 0.634 1
Cl10 0.367 0.018 0.134 1
Cl11 0.633 0.651 0.634 1
Cl12 0.349 0.367 0.866 1

---

(6)
# Al2OsRu PBE relaxed
# Calculated formation energy (eV/atom): -0.229
# Space-group type: I-4m2
# Mass density (g/cm3): 10.14
# Density of states at the Fermi level (states/eV per cell): 4.02
# Total magnetic moment (μB/f.u.): 0.00
data_Al2OsRu
_chemical_formula_sum 'Al2 Os1 Ru1'
_cell_length_a 4.945
_cell_length_b 4.945
_cell_length_c 4.945
_cell_angle_alpha 136.51
_cell_angle_beta 136.51
_cell_angle_gamma 63.19
_symmetry_space_group_name_H-M 'P 1'
_symmetry_Int_Tables_number 1
loop_
_symmetry_equiv_pos_as_xyz
'x,y,z'
loop_
_atom_site_label
_atom_site_fract_x
_atom_site_fract_y
_atom_site_fract_z
_atom_site_occupancy
Ru1 0.750 0.250 0.500 1
Os1 0.500 0.500 0.000 1
Al1 0.000 0.000 0.000 1
Al2 0.250 0.750 0.500 1

---

(7)
# BaYO2 PBE relaxed
# Space-group type: R-3m
# Mass density (g/cm3): 5.31
# ΔE to the lowest computed polymorph (kJ/mol of atoms): 9.5
# Density of states at the Fermi level (states/eV per cell): 1.39
# Total magnetic moment (μB/f.u.): 0.00
# Formation energy from raw total energies (eV/atom): -2.5751
data_BaYO2
_chemical_formula_sum 'Ba1 Y1 O2'
_cell_length_a 7.528
_cell_length_b 7.528
_cell_length_c 7.528
_cell_angle_alpha 27.58
_cell_angle_beta 27.58
_cell_angle_gamma 27.58
_symmetry_space_group_name_H-M 'P 1'
_symmetry_Int_Tables_number 1
loop_
_symmetry_equiv_pos_as_xyz
'x,y,z'
loop_
_atom_site_label
_atom_site_fract_x
_atom_site_fract_y
_atom_site_fract_z
_atom_site_occupancy
Y1 0.500 0.500 0.500 1
Ba1 0.000 0.000 0.000 1
O1 0.883 0.883 0.883 1
O2 0.117 0.117 0.117 1

---

(8)
# Cd2Cu PBE relaxed
# Calculated formation energy (eV/atom): 0.054
# Space-group type: C2/m
# Mass density (g/cm3): 8.63
# Density of states at the Fermi level (states/eV per cell): 1.31
# Total magnetic moment (μB/f.u.): 0.00
data_Cd2Cu
_chemical_formula_sum 'Cd4 Cu2'
_cell_length_a 2.986
_cell_length_b 5.374
_cell_length_c 7.625
_cell_angle_alpha 108.11
_cell_angle_beta 101.29
_cell_angle_gamma 73.87
_symmetry_space_group_name_H-M 'P 1'
_symmetry_Int_Tables_number 1
loop_
_symmetry_equiv_pos_as_xyz
'x,y,z'
loop_
_atom_site_label
_atom_site_fract_x
_atom_site_fract_y
_atom_site_fract_z
_atom_site_occupancy
Cd1 0.964 0.064 0.993 1
Cd2 0.635 0.522 0.792 1
Cd3 0.310 0.978 0.597 1
Cd4 0.980 0.436 0.396 1
Cu1 0.668 0.943 0.278 1
Cu2 0.277 0.557 0.111 1

---

(9)
# Cd3Au PBE relaxed
# Calculated formation energy (eV/atom): -0.059
# Space-group type: P-6m2
# Mass density (g/cm3): 10.55
# Density of states at the Fermi level (states/eV per cell): 0.55
# Total magnetic moment (μB/f.u.): 0.00
data_Cd3Au
_chemical_formula_sum 'Cd3 Au1'
_cell_length_a 3.220
_cell_length_b 3.220
_cell_length_c 9.362
_cell_angle_alpha 90.00
_cell_angle_beta 90.00
_cell_angle_gamma 120.00
_symmetry_space_group_name_H-M 'P 1'
_symmetry_Int_Tables_number 1
loop_
_symmetry_equiv_pos_as_xyz
'x,y,z'
loop_
_atom_site_label
_atom_site_fract_x
_atom_site_fract_y
_atom_site_fract_z
_atom_site_occupancy
Au1 0.000 0.000 0.000 1
Cd1 0.000 0.000 0.500 1
Cd2 0.333 0.667 0.238 1
Cd3 0.333 0.667 0.762 1

---

(10)
# Sm2Tl3InS6 PBE relaxed
# Space-group type: C2/m
# Mass density (g/cm3): 6.30
# Total magnetic moment (μB/f.u.): 0.00
# Formation energy from raw total energies (eV/atom): -1.1190
data_Sm2Tl3InS6
_chemical_formula_sum 'Sm2 Tl3 In1 S6'
_cell_length_a 7.025
_cell_length_b 7.025
_cell_length_c 7.888
_cell_angle_alpha 98.61
_cell_angle_beta 98.61
_cell_angle_gamma 119.89
_symmetry_space_group_name_H-M 'P 1'
_symmetry_Int_Tables_number 1
loop_
_symmetry_equiv_pos_as_xyz
'x,y,z'
loop_
_atom_site_label
_atom_site_fract_x
_atom_site_fract_y
_atom_site_fract_z
_atom_site_occupancy
Sm1 0.334 0.666 0.000 1
Sm2 0.666 0.334 0.000 1
Tl1 0.170 0.830 0.500 1
Tl2 0.830 0.170 0.500 1
Tl3 0.500 0.500 0.500 1
In1 0.000 0.000 0.000 1
S1 0.934 0.614 0.802 1
S2 0.746 0.746 0.204 1
S3 0.066 0.386 0.198 1
S4 0.614 0.934 0.802 1
S5 0.254 0.254 0.796 1
S6 0.386 0.066 0.198 1

---

Question: The highest mass density belongs to which entry?
Answer: Cd3Au